Entry 1:
## Dy3Se3O2 (PBE)

Data for a relaxed structure of Dy3Se3O2.

Properties
**Energy**: -106.4 eV/cell
**V**: 323.8 Å³ per cell
**E_form (uncorrected)**: -2377 meV per atom

a b c (Å): 6.7150 6.7150 13.0779
angles (deg): 90.00 90.00 146.69
With the nearest neighbours (Å) after each atom.
Atoms (fractional coordinates):
Dy1 0.1461 0.8539 0.5405  3 O 2.19-2.30
Dy2 0.1461 0.8539 0.9595  3 O 2.19-2.30
Dy3 0.1961 0.8039 0.2500  2 O 2.39
Dy4 0.8039 0.1961 0.7500  2 O 2.39
Dy5 0.8539 0.1461 0.0405  3 O 2.19-2.30
Dy6 0.8539 0.1461 0.4595  3 O 2.19-2.30
Se1 0.1510 0.8490 0.7500  4 Dy 2.74-2.75
Se2 0.4574 0.5426 0.6148  6 Dy 3.10-3.28, 1 Se 3.20
Se3 0.4574 0.5426 0.8852  6 Dy 3.10-3.28, 1 Se 3.20
Se4 0.5426 0.4574 0.1148  6 Dy 3.10-3.28, 1 Se 3.20
Se5 0.5426 0.4574 0.3852  6 Dy 3.10-3.28, 1 Se 3.20
Se6 0.8490 0.1510 0.2500  4 Dy 2.74-2.75
O1 0.2644 0.7356 0.0801  4 Dy 2.19-2.39
O2 0.2644 0.7356 0.4199  4 Dy 2.19-2.39
O3 0.7356 0.2644 0.5801  4 Dy 2.19-2.39
O4 0.7356 0.2644 0.9199  4 Dy 2.19-2.39

---

Entry 2:
## Dy2SeO2 (PBE)

Data for a relaxed structure of Dy2SeO2.

Properties
**Energy**: -38.2 eV/cell
**V**: 87.7 Å³ per cell
**E_form (uncorrected)**: -3124 meV per atom

a b c (Å): 3.8485 3.8485 6.8351
angles (deg): 90.00 90.00 120.00
With the nearest neighbours (Å) after each atom.
Atoms (fractional coordinates):
Dy1 0.3333 0.6667 0.2911  4 O 2.29
Dy2 0.6667 0.3333 0.7089  4 O 2.29
Se1 0.0000 0.0000 0.0000  6 Dy 2.98
O1 0.3333 0.6667 0.6256  4 Dy 2.29
O2 0.6667 0.3333 0.3744  4 Dy 2.29

---

Entry 3:
## Dy2Se3O12 (PBE)

Data for a relaxed structure of Dy2Se3O12.

Properties
**Energy**: -209.7 eV/cell
**V**: 448.0 Å³ per cell
**E_form (uncorrected)**: -1511 meV per atom
**Polymorph energy (0 for the lowest one)**: 79 meV/atom

a b c (Å): 6.8629 6.8629 11.2880
angles (deg): 99.39 99.39 117.43
With the nearest neighbours (Å) after each atom.
Atoms (fractional coordinates):
Dy1 0.0517 0.3007 0.0930  6 O 2.27-2.49
Dy2 0.3007 0.0517 0.5930  6 O 2.27-2.49
Dy3 0.6993 0.9483 0.4070  6 O 2.27-2.49
Dy4 0.9483 0.6993 0.9070  6 O 2.27-2.49
Se1 0.1349 0.8651 0.2500  4 O 1.66-1.70
Se2 0.2134 0.4497 0.4234  4 O 1.66-1.71
Se3 0.4497 0.2134 0.9234  4 O 1.66-1.71
Se4 0.5503 0.7866 0.0766  4 O 1.66-1.71
Se5 0.7866 0.5503 0.5766  4 O 1.66-1.71
Se6 0.8651 0.1349 0.7500  4 O 1.66-1.70
O1 0.0037 0.5824 0.2100  1 Se 1.66
O2 0.0500 0.9392 0.1228  1 Se 1.70
O3 0.0608 0.9500 0.3772  1 Se 1.70
O4 0.0703 0.6852 0.6056  1 Se 1.67
O5 0.2599 0.6546 0.0427  1 Se 1.71
O6 0.2630 0.3707 0.2884  1 Se 1.67
O7 0.3119 0.3773 0.5429  1 Se 1.66
O8 0.3148 0.9297 0.8944  1 Se 1.67
O9 0.3454 0.7401 0.4573  1 Se 1.71
O10 0.3707 0.2630 0.7884  1 Se 1.67
O11 0.3773 0.3119 0.0429  1 Se 1.66
O12 0.4176 0.9963 0.2900  1 Se 1.66
O13 0.5824 0.0037 0.7100  1 Se 1.66
O14 0.6227 0.6881 0.9571  1 Se 1.66
O15 0.6293 0.7370 0.2116  1 Se 1.67
O16 0.6546 0.2599 0.5427  1 Se 1.71
O17 0.6852 0.0703 0.1056  1 Se 1.67
O18 0.6881 0.6227 0.4571  1 Se 1.66
O19 0.7370 0.6293 0.7116  1 Se 1.67
O20 0.7401 0.3454 0.9573  1 Se 1.71
O21 0.9297 0.3148 0.3944  1 Se 1.67
O22 0.9392 0.0500 0.6228  1 Se 1.70
O23 0.9500 0.0608 0.8772  1 Se 1.70
O24 0.9963 0.4176 0.7900  1 Se 1.66

---

Entry 4:
## Dy3SeO3 (PBE)

Data for a relaxed structure of Dy3SeO3.

Properties
**Energy**: -107.0 eV/cell
**V**: 256.6 Å³ per cell
**E_form (uncorrected)**: -3050 meV per atom

a b c (Å): 7.7753 7.7753 7.7753
angles (deg): 50.34 50.34 50.34
With the nearest neighbours (Å) after each atom.
Atoms (fractional coordinates):
Dy1 0.0734 0.4038 0.7343  4 O 2.26-2.30
Dy2 0.2657 0.9266 0.5962  4 O 2.26-2.30
Dy3 0.4038 0.7343 0.0734  4 O 2.26-2.30
Dy4 0.5962 0.2657 0.9266  4 O 2.26-2.30
Dy5 0.7343 0.0734 0.4038  4 O 2.26-2.30
Dy6 0.9266 0.5962 0.2657  4 O 2.26-2.30
Se1 0.1667 0.1667 0.1667  6 Dy 2.95
Se2 0.8333 0.8333 0.8333  6 Dy 2.95
O1 0.0432 0.7088 0.3758  4 Dy 2.26-2.30
O2 0.2912 0.6242 0.9568  4 Dy 2.26-2.30
O3 0.3758 0.0432 0.7088  4 Dy 2.26-2.30
O4 0.6242 0.9568 0.2912  4 Dy 2.26-2.30
O5 0.7088 0.3758 0.0432  4 Dy 2.26-2.30
O6 0.9568 0.2912 0.6242  4 Dy 2.26-2.30